# Th2NpSi3Pt4

An optimized crystal structure of Th2NpSi3Pt4 (PBE, Alexandria via LeMat-Bulk).

Computed properties:
Formation energy (no corrections) = -912 meV per atom
Density = 13.1 g cm⁻³

Unit cell a=4.276 b=4.276 c=10.823 alpha=90.00 beta=90.00 gamma=90.00
Fractional positions:
Th (0.500, 0.000, 0.230)
Th (0.000, 0.500, 0.770)
Np (0.500, 0.500, 0.500)
Si (0.000, 0.000, 0.500)
Si (0.500, 0.000, 0.882)
Si (0.000, 0.500, 0.118)
Pt (0.500, 0.500, 0.000)
Pt (0.000, 0.000, 0.000)
Pt (0.500, 0.000, 0.662)
Pt (0.000, 0.500, 0.338)